# NaZnGaI4

NaZnGaI4 after structural relaxation (PBE, Alexandria via LeMat-Bulk).

a = 7.676 Å, b = 8.185 Å, c = 8.823 Å
α = 90.00°, β = 107.14°, γ = 90.00°
Positions (direct):
Na 0.767 0.750 0.441
Na 0.233 0.250 0.559
Zn 0.250 0.750 0.309
Zn 0.750 0.250 0.691
Ga 0.786 0.750 0.929
Ga 0.214 0.250 0.071
I 0.985 0.500 0.745
I 0.015 0.000 0.255
I 0.015 0.500 0.255
I 0.985 0.000 0.745
I 0.450 0.750 0.117
I 0.550 0.250 0.883
I 0.445 0.750 0.609
I 0.555 0.250 0.391

formation energy (no corrections)	-0.676	eV per atom
crystal system	monoclinic
magnetic moment	0.000	Bohr magnetons per cell
theoretical density	4.2	Mg/m³
V	530	Å³/cell


# NaZrGaI6

NaZrGaI6 after structural relaxation (PBE, Alexandria via LeMat-Bulk).

a = 7.837 Å, b = 7.837 Å, c = 14.006 Å
α = 90.00°, β = 90.00°, γ = 120.00°
Positions (direct):
Na 0.333 0.667 0.250
Na 0.667 0.333 0.750
Zr 0.667 0.333 0.250
Zr 0.333 0.667 0.750
Ga 0.000 0.000 0.000
Ga 0.000 0.000 0.500
I 0.662 0.630 0.130
I 0.969 0.338 0.130
I 0.338 0.969 0.630
I 0.031 0.662 0.870
I 0.370 0.338 0.370
I 0.969 0.630 0.370
I 0.630 0.969 0.870
I 0.662 0.031 0.370
I 0.031 0.370 0.630
I 0.370 0.031 0.130
I 0.630 0.662 0.630
I 0.338 0.370 0.870

formation energy (no corrections)	-0.841	eV per atom
crystal system	trigonal
magnetic moment	0.000	Bohr magnetons per cell
theoretical density	4.2	Mg/m³
V	745	Å³/cell


# NbGa3I

NbGa3I after structural relaxation (PBE, Alexandria via LeMat-Bulk).

a = 5.283 Å, b = 5.283 Å, c = 5.283 Å
α = 90.00°, β = 90.00°, γ = 90.00°
Each line ends with the local moment (μB).
Positions (direct):
I 0.500 0.500 0.500  0.23
Nb 0.000 0.000 0.000  1.62
Ga 0.000 0.500 0.000  0.15
Ga 0.000 0.000 0.500  0.11
Ga 0.500 0.000 0.000  0.08

formation energy (no corrections)	0.502	eV per atom
crystal system	cubic
relative energy among the computed polymorphs	0	meV/atom
magnetic moment	3.172	Bohr magnetons per cell
theoretical density	4.8	Mg/m³
V	147	Å³/cell


# NbGaOs2I

NbGaOs2I after structural relaxation (PBE, Alexandria via LeMat-Bulk).

a = 4.855 Å, b = 5.186 Å, c = 4.855 Å
α = 90.00°, β = 90.00°, γ = 90.00°
Each line ends with the local moment (μB).
Positions (direct):
I 0.500 0.500 0.500  0.04
Nb 0.000 0.000 0.000  -0.22
Os 0.000 0.000 0.500  0.84
Os 0.500 0.000 0.000  0.76
Ga 0.000 0.500 0.000  -0.02

formation energy (no corrections)	1.737	eV per atom
crystal system	tetragonal
magnetic moment	1.527	Bohr magnetons per cell
theoretical density	9.1	Mg/m³
V	122	Å³/cell


# NbGaPtI2

NbGaPtI2 after structural relaxation (PBE, Alexandria via LeMat-Bulk).

a = 5.643 Å, b = 5.082 Å, c = 5.643 Å
α = 90.00°, β = 90.00°, γ = 90.00°
Each line ends with the local moment (μB).
Positions (direct):
I 0.000 0.000 0.500  0.00
I 0.500 0.000 0.000  0.01
Nb 0.000 0.500 0.000  2.33
Ga 0.500 0.500 0.500  0.08
Pt 0.000 0.000 0.000  -0.02

formation energy (no corrections)	0.678	eV per atom
crystal system	tetragonal
magnetic moment	3.401	Bohr magnetons per cell
theoretical density	6.3	Mg/m³
V	162	Å³/cell


# NbGaSbI2

NbGaSbI2 after structural relaxation (PBE, Alexandria via LeMat-Bulk).

a = 5.702 Å, b = 5.702 Å, c = 5.403 Å
α = 90.00°, β = 90.00°, γ = 90.00°
Each line ends with the local moment (μB).
Positions (direct):
I 0.000 0.500 0.000  0.00
I 0.500 0.000 0.000  0.00
Sb 0.000 0.000 0.500  -0.05
Nb 0.000 0.000 0.000  0.43
Ga 0.500 0.500 0.500  0.00

formation energy (no corrections)	0.248	eV per atom
crystal system	tetragonal
relative energy among the computed polymorphs	0	meV/atom
magnetic moment	0.424	Bohr magnetons per cell
theoretical density	5.1	Mg/m³
V	176	Å³/cell


# NbGa2SbI

NbGa2SbI after structural relaxation (PBE, Alexandria via LeMat-Bulk).

a = 5.605 Å, b = 5.434 Å, c = 5.605 Å
α = 90.00°, β = 90.00°, γ = 90.00°
Each line ends with the local moment (μB).
Positions (direct):
I 0.500 0.500 0.500  0.01
Sb 0.000 0.000 0.000  -0.07
Nb 0.000 0.500 0.000  2.35
Ga 0.000 0.000 0.500  0.00
Ga 0.500 0.000 0.000  0.00

formation energy (no corrections)	0.784	eV per atom
crystal system	tetragonal
magnetic moment	3.082	Bohr magnetons per cell
theoretical density	4.7	Mg/m³
V	171	Å³/cell


# NbGaSbI2

NbGaSbI2 after structural relaxation (PBE, Alexandria via LeMat-Bulk).

a = 5.484 Å, b = 5.484 Å, c = 5.375 Å
α = 90.00°, β = 90.00°, γ = 90.00°
Each line ends with the local moment (μB).
Positions (direct):
I 0.000 0.500 0.000  -0.08
I 0.500 0.000 0.000  -0.08
Sb 0.000 0.000 0.500  -0.27
Nb 0.500 0.500 0.500  2.68
Ga 0.000 0.000 0.000  0.00

formation energy (no corrections)	0.917	eV per atom
crystal system	tetragonal
relative energy among the computed polymorphs	670	meV/atom
magnetic moment	2.608	Bohr magnetons per cell
theoretical density	5.5	Mg/m³
V	162	Å³/cell